Record 1
Here is crystalline BaPm2Ga4 at its relaxed geometry from Alexandria via LeMat-Bulk. Energies are from PBE-GGA.

Cell lengths 4.2417, 4.6941, 10.0566 Å; angles 103.50, 102.17, 90.00 degrees
Positions (direct):
Pm  0.1852  0.1852  0.3705
Pm  0.8148  0.8148  0.6295
Ba  0.5000  0.0000  0.0000
Ga  0.3478  0.3478  0.6956
Ga  0.6522  0.6522  0.3044
Ga  0.9288  0.4288  0.8577
Ga  0.0712  0.5712  0.1423

Output
crystal system	orthorhombic
ΔE_f	-334.0	kJ/mol of formula units
total DFT energy (no corrections)	-26.99	eV/cell

***

Record 2
Here is crystalline BaPmGa at its relaxed geometry from Alexandria via LeMat-Bulk. Energies are from PBE-GGA.

Cell lengths 4.9033, 5.0926, 5.0926 Å; angles 120.00, 90.00, 90.00 degrees
Positions (direct):
Ga  0.1677  0.0000  0.0000
Pm  0.1660  0.3333  0.6667
Ba  0.6663  0.6667  0.3333

Output
crystal system	trigonal
ΔE_f	-35.5	kJ/mol of formula units
energy above the lowest structure with this stoichiometry	214.3	meV/atom
total DFT energy (no corrections)	-10.07	eV/cell